No. 1
A plane-wave DFT calculation with GGA-PBE was carried out for an optimized crystal structure of BaNbAu.

Cell: 5.8165 9.8521 3.3263 Å, 107.30 115.95 68.37°
With the nearest neighbours (Å) after each atom.
Element x y z (fractional)
Au 0.5511 0.4365 0.0539  2 Nb 2.80
Au 0.7765 0.9857 0.8277  2 Nb 2.80
Nb 0.9550 0.2110 0.5158  2 Nb 2.69-2.81, 2 Au 2.80
Nb 0.3727 0.2112 0.3657  2 Nb 2.69-2.81, 2 Au 2.80
Ba 0.9826 0.5732 0.1203  2 Au 3.16, 2 Ba 3.33
Ba 0.3450 0.8491 0.7612  2 Au 3.16, 2 Ba 3.33

Values from the calculation:
- density (Mg/m³) = 9.0
- formation energy from the elements (eV/f.u.) = 0.385
- M_tot (μB per atom) = 0.0000
- excess energy over the best structure of this formula in the dataset (eV/atom) = 0.152

No. 2
A plane-wave DFT calculation with GGA-PBE was carried out for an optimized crystal structure of BaNb2Au.

Cell: 4.8836 4.8836 10.8542 Å, 77.00 77.00 90.00°
With the nearest neighbours (Å) after each atom.
Element x y z (fractional)
Au 0.0000 0.0000 0.0000  4 Nb 2.85
Au 0.7500 0.2500 0.5000  4 Nb 2.85
Nb 0.8750 0.1251 0.7500  2 Nb 2.44
Nb 0.8751 0.1250 0.2500  2 Nb 2.44
Nb 0.8749 0.6250 0.2500  2 Nb 2.44
Nb 0.3750 0.1249 0.7500  2 Nb 2.44
Ba 0.2500 0.7500 0.5000  4 Au 3.45, 8 Nb 3.75
Ba 0.5000 0.5000 0.0000  4 Au 3.45, 8 Nb 3.75

Values from the calculation:
- density (Mg/m³) = 7.0
- formation energy from the elements (eV/f.u.) = 2.805
- M_tot (μB per atom) = 0.0000
- excess energy over the best structure of this formula in the dataset (eV/atom) = 0.000

No. 3
A plane-wave DFT calculation with GGA-PBE was carried out for an optimized crystal structure of BaNbAu.

Cell: 4.7929 5.7358 6.6943 Å, 115.40 90.03 89.92°
With the nearest neighbours (Å) after each atom.
Element x y z (fractional)
Au 0.0865 0.5818 0.6817  4 Nb 2.80-2.97, 2 Au 2.88
Au 0.5859 0.8590 0.6813  4 Nb 2.80-2.96, 2 Au 2.88
Ba 0.5863 0.6790 0.1208  2 Nb 3.31-3.59, 4 Au 3.44-3.65, 2 Ba 3.64
Ba 0.0864 0.2019 0.1214  2 Nb 3.32-3.59, 4 Au 3.44-3.65, 2 Ba 3.64
Nb 0.5872 0.3032 0.5827  4 Au 2.80-2.96, 2 Nb 2.83-2.85
Nb 0.0852 0.0385 0.5825  4 Au 2.80-2.97, 2 Nb 2.83-2.85

Values from the calculation:
- density (Mg/m³) = 8.5
- formation energy from the elements (eV/f.u.) = 0.516
- M_tot (μB per atom) = 0.0001
- excess energy over the best structure of this formula in the dataset (eV/atom) = 0.196

No. 4
A plane-wave DFT calculation with GGA-PBE was carried out for an optimized crystal structure of BaNb2AuS.

Cell: 4.6696 5.8917 4.6696 Å, 90.00 90.00 90.00°
With the nearest neighbours (Å) after each atom.
Element x y z (fractional)
Nb 0.5000 0.0000 0.0000  2 S 2.33
Nb 0.0000 0.0000 0.5000  2 S 2.33
S 0.0000 0.0000 0.0000  4 Nb 2.33
Au 0.5000 0.5000 0.5000  4 Ba 3.30
Ba 0.0000 0.5000 0.0000  2 S 2.95

Values from the calculation:
- density (Mg/m³) = 7.1
- M_tot (μB per atom) = 0.2830
- E_form (uncorrected) (eV/atom) = 0.1510

No. 5
A plane-wave DFT calculation with GGA-PBE was carried out for an optimized crystal structure of BaNb2AuSe.

Cell: 5.0642 6.3979 5.0642 Å, 90.00 90.00 90.00°
With the nearest neighbours (Å) after each atom.
Element x y z (fractional)
Se 0.5000 0.5000 0.5000  4 Ba 3.58
Nb 0.5000 0.0000 0.0000  2 Au 2.53
Nb 0.0000 0.0000 0.5000  2 Au 2.53
Ba 0.0000 0.5000 0.0000  2 Au 3.20, 4 Se 3.58
Au 0.0000 0.0000 0.0000  4 Nb 2.53

Values from the calculation:
- density (Mg/m³) = 6.1
- M_tot (μB per atom) = 0.7352
- E_form (uncorrected) (eV/atom) = 0.8282

No. 6
A plane-wave DFT calculation with GGA-PBE was carried out for an optimized crystal structure of BaZr2NbAu.

Cell: 5.2544 5.3092 5.2544 Å, 90.00 90.00 90.00°
With the nearest neighbours (Å) after each atom.
Element x y z (fractional)
Nb 0.5000 0.5000 0.5000  4 Au 3.72, 8 Zr 3.73
Zr 0.0000 0.0000 0.5000  2 Ba 2.63
Zr 0.5000 0.0000 0.0000  2 Ba 2.63
Ba 0.0000 0.0000 0.0000  4 Zr 2.63, 2 Au 2.65
Au 0.0000 0.5000 0.0000  2 Ba 2.65

Values from the calculation:
- density (Mg/m³) = 6.9
- formation energy from the elements (eV/f.u.) = 10.478
- M_tot (μB per atom) = 0.0000
- excess energy over the best structure of this formula in the dataset (eV/atom) = 0.102

No. 7
A plane-wave DFT calculation with GGA-PBE was carried out for an optimized crystal structure of BaZr2NbAu.

Cell: 5.2481 5.0080 5.2481 Å, 90.00 90.00 90.00°
With the nearest neighbours (Å) after each atom.
Element x y z (fractional)
Zr 0.0000 0.0000 0.5000  2 Ba 2.62
Zr 0.5000 0.0000 0.0000  2 Ba 2.62
Ba 0.0000 0.0000 0.0000  2 Nb 2.50, 4 Zr 2.62
Au 0.5000 0.5000 0.5000  8 Zr 3.63, 4 Nb 3.71
Nb 0.0000 0.5000 0.0000  2 Ba 2.50

Values from the calculation:
- density (Mg/m³) = 7.3
- formation energy from the elements (eV/f.u.) = 9.968
- M_tot (μB per atom) = 0.0374
- excess energy over the best structure of this formula in the dataset (eV/atom) = 0.000

No. 8
A plane-wave DFT calculation with GGA-PBE was carried out for an optimized crystal structure of Ba2NdAu.

Cell: 4.0984 4.0984 12.2756 Å, 80.39 80.39 60.00°
With the nearest neighbours (Å) after each atom.
Element x y z (fractional)
Ba 0.1053 0.1053 0.6840  3 Au 3.24
Ba 0.8947 0.8947 0.3160  3 Au 3.24
Au 0.5000 0.5000 0.5000  6 Ba 3.24
Nd 0.0000 0.0000 0.0000  2 Ba 3.81, 6 Nd 4.10

Values from the calculation:
- density (Mg/m³) = 5.8
- formation energy from the elements (eV/f.u.) = 0.047
- M_tot (μB per atom) = 0.1478

No. 9
A plane-wave DFT calculation with GGA-PBE was carried out for an optimized crystal structure of BaNdAu2.

Cell: 4.4143 4.4143 8.2407 Å, 74.46 74.46 60.00°
With the nearest neighbours (Å) after each atom.
Element x y z (fractional)
Au 0.2614 0.2614 0.2158  3 Nd 3.09, 3 Ba 3.42
Au 0.0721 0.0721 0.7838  3 Nd 3.03, 3 Ba 3.35
Nd 0.6687 0.6687 0.9940  6 Au 3.03-3.09
Ba 0.4979 0.4979 0.5064  6 Au 3.35-3.42

Values from the calculation:
- density (Mg/m³) = 8.5
- formation energy from the elements (eV/f.u.) = -2.510
- M_tot (μB per atom) = 0.0000

No. 10
A plane-wave DFT calculation with GGA-PBE was carried out for an optimized crystal structure of BaNdAu.

Cell: 4.8954 5.0825 5.0825 Å, 120.00 90.00 90.00°
With the nearest neighbours (Å) after each atom.
Element x y z (fractional)
Ba 0.6867 0.6667 0.3333  3 Au 3.60, 6 Nd 3.77-3.87
Nd 0.2016 0.3333 0.6667  3 Au 2.97
Au 0.1117 0.0000 0.0000  3 Nd 2.97

Values from the calculation:
- density (Mg/m³) = 7.3
- formation energy from the elements (eV/f.u.) = -0.942
- M_tot (μB per atom) = 0.0000
- excess energy over the best structure of this formula in the dataset (eV/atom) = 0.191

No. 11
A plane-wave DFT calculation with GGA-PBE was carried out for an optimized crystal structure of BaNdAu2.

Cell: 3.8537 3.8537 7.8304 Å, 90.00 90.00 90.00°
With the nearest neighbours (Å) after each atom.
Element x y z (fractional)
Au 0.0000 0.0000 0.7967  4 Nd 3.16, 1 Au 3.18
Au 0.0000 0.0000 0.2033  4 Nd 3.16, 1 Au 3.18
Nd 0.5000 0.5000 0.0000  8 Au 3.16
Ba 0.5000 0.5000 0.5000  8 Au 3.58, 4 Ba 3.85, 2 Nd 3.92

Values from the calculation:
- density (Mg/m³) = 9.6
- formation energy from the elements (eV/f.u.) = -2.909
- M_tot (μB per atom) = 0.0000

No. 12
A plane-wave DFT calculation with GGA-PBE was carried out for an optimized crystal structure of BaNd2Au6.

Cell: 3.6891 8.3908 8.3912 Å, 120.00 90.00 90.00°
With the nearest neighbours (Å) after each atom.
Element x y z (fractional)
Au 0.5000 0.6628 0.0000  3 Au 2.73-2.83
Au 0.4997 0.0000 0.3372  3 Au 2.73-2.83
Au 0.5000 0.3372 0.0000  3 Au 2.73-2.83
Au 0.5003 0.6628 0.6628  3 Au 2.73-2.83
Au 0.4997 0.3372 0.3372  3 Au 2.73-2.83
Au 0.5003 0.0000 0.6628  3 Au 2.73-2.83
Nd 0.9999 0.3333 0.6667  12 Au 3.34, 2 Nd 3.69
Nd 0.0001 0.6667 0.3333  12 Au 3.34, 2 Nd 3.69
Ba 0.0000 0.0000 0.0000  12 Au 3.38, 2 Ba 3.69

Values from the calculation:
- density (Mg/m³) = 11.9
- formation energy from the elements (eV/f.u.) = -6.272
- M_tot (μB per atom) = 0.0000

No. 13
A plane-wave DFT calculation with GGA-PBE was carried out for an optimized crystal structure of BaNdAu10.

Cell: 4.7169 5.6658 9.9540 Å, 90.00 90.00 90.00°
With the nearest neighbours (Å) after each atom.
Element x y z (fractional)
Ba 0.0000 0.5000 0.5000  10 Au 3.35-3.69
Nd 0.0000 0.0000 0.0000  6 Au 3.18-3.24
Au 0.5000 0.2469 0.2438  8 Au 2.80-2.91
Au 0.5000 0.7531 0.2438  8 Au 2.80-2.91
Au 0.5000 0.5000 0.0000  8 Au 2.82-2.83
Au 0.0000 0.5000 0.8428  7 Au 2.83-3.13
Au 0.5000 0.0000 0.5000  8 Au 2.91-2.96
Au 0.5000 0.7531 0.7562  8 Au 2.80-2.91
Au 0.0000 0.0000 0.3198  6 Au 2.84-2.96, 1 Nd 3.18
Au 0.0000 0.0000 0.6802  6 Au 2.84-2.96, 1 Nd 3.18
Au 0.5000 0.2469 0.7562  8 Au 2.80-2.91
Au 0.0000 0.5000 0.1572  7 Au 2.83-3.13

Values from the calculation:
- density (Mg/m³) = 14.1
- formation energy from the elements (eV/f.u.) = -4.977
- M_tot (μB per atom) = 0.0000

No. 14
A plane-wave DFT calculation with GGA-PBE was carried out for an optimized crystal structure of BaNdAu.

Cell: 5.2793 5.2793 7.8090 Å, 90.00 90.00 90.00°
With the nearest neighbours (Å) after each atom.
Element x y z (fractional)
Au 0.5000 0.0000 0.6906  4 Nd 3.03, 1 Ba 3.35
Au 0.0000 0.5000 0.3094  4 Nd 3.03, 1 Ba 3.35
Ba 0.0000 0.5000 0.8801  1 Au 3.35
Ba 0.5000 0.0000 0.1199  1 Au 3.35
Nd 0.5000 0.5000 0.5000  4 Au 3.03
Nd 0.0000 0.0000 0.5000  4 Au 3.03

Values from the calculation:
- density (Mg/m³) = 7.3
- formation energy from the elements (eV/f.u.) = -1.514
- M_tot (μB per atom) = 0.0000
- excess energy over the best structure of this formula in the dataset (eV/atom) = 0.000

No. 15
A plane-wave DFT calculation with GGA-PBE was carried out for an optimized crystal structure of BaNdAu2.

Cell: 4.5065 4.5065 7.9574 Å, 73.55 73.55 60.00°
With the nearest neighbours (Å) after each atom.
Element x y z (fractional)
Nd 0.0000 0.0000 0.0000  6 Au 3.06
Ba 0.5000 0.5000 0.5000  6 Au 3.38
Au 0.7379 0.7379 0.7864  3 Nd 3.06, 3 Ba 3.38
Au 0.2621 0.2621 0.2136  3 Nd 3.06, 3 Ba 3.38

Values from the calculation:
- density (Mg/m³) = 8.5
- formation energy from the elements (eV/f.u.) = -2.603
- M_tot (μB per atom) = 0.0000

No. 16
A plane-wave DFT calculation with GGA-PBE was carried out for an optimized crystal structure of BaNdAu.

Cell: 3.9284 3.9284 7.5101 Å, 105.16 105.16 90.00°
With the nearest neighbours (Å) after each atom.
Element x y z (fractional)
Nd 0.2862 0.2862 0.5723  4 Au 3.09
Ba 0.0238 0.0238 0.0477  4 Au 3.62, 1 Nd 3.66, 4 Ba 3.93
Au 0.6900 0.6900 0.3800  4 Nd 3.09

Values from the calculation:
- density (Mg/m³) = 7.4
- formation energy from the elements (eV/f.u.) = -1.319
- M_tot (μB per atom) = 0.0000
- excess energy over the best structure of this formula in the dataset (eV/atom) = 0.065

No. 17
A plane-wave DFT calculation with GGA-PBE was carried out for an optimized crystal structure of Ba2NdAu4.

Cell: 5.5961 5.5961 8.1445 Å, 110.09 110.09 90.00°
With the nearest neighbours (Å) after each atom.
Element x y z (fractional)
Au 0.8996 0.3996 0.7992  1 Au 2.86, 2 Nd 3.14
Au 0.3996 0.8996 0.7992  1 Au 2.86, 2 Nd 3.14
Au 0.6004 0.1004 0.2008  1 Au 2.86, 2 Nd 3.14
Au 0.1004 0.6004 0.2008  1 Au 2.86, 2 Nd 3.14
Nd 0.0000 0.0000 0.0000  8 Au 3.14
Ba 0.7179 0.7179 0.4359  4 Au 3.26
Ba 0.2821 0.2821 0.5641  4 Au 3.26

Values from the calculation:
- density (Mg/m³) = 9.0
- formation energy from the elements (eV/f.u.) = -4.044
- M_tot (μB per atom) = 0.0000

No. 18
A plane-wave DFT calculation with GGA-PBE was carried out for an optimized crystal structure of Ba3NdAu2O6.

Cell: 6.3177 6.3177 6.9711 Å, 90.00 90.00 120.00°
With the nearest neighbours (Å) after each atom.
Element x y z (fractional)
O 0.3351 0.1675 0.6962  1 Au 2.19, 1 Nd 2.29
O 0.1675 0.8325 0.3038  1 Au 2.19, 1 Nd 2.29
O 0.8325 0.6649 0.6962  1 Au 2.19, 1 Nd 2.29
O 0.6649 0.8325 0.3038  1 Au 2.19, 1 Nd 2.29
O 0.1675 0.3351 0.3038  1 Au 2.19, 1 Nd 2.29
O 0.8325 0.1675 0.6962  1 Au 2.19, 1 Nd 2.29
Nd 0.0000 0.0000 0.5000  6 O 2.29
Ba 0.0000 0.0000 0.0000  6 O 2.80
Ba 0.3333 0.6667 0.6280  9 O 2.90-3.19
Ba 0.6667 0.3333 0.3720  9 O 2.90-3.19
Au 0.6667 0.3333 0.8724  3 O 2.19
Au 0.3333 0.6667 0.1276  3 O 2.19

Values from the calculation:
- density (Mg/m³) = 7.2
- M_tot (μB per atom) = 0.0000
- E_form (uncorrected) (eV/atom) = -1.6752

No. 19
A plane-wave DFT calculation with GGA-PBE was carried out for an optimized crystal structure of Ba2NdAuO5.

Cell: 3.7251 7.3987 12.0547 Å, 90.00 90.00 104.58°
With the nearest neighbours (Å) after each atom.
Element x y z (fractional)
O 0.6207 0.2413 0.4852  1 Au 2.09
O 0.3370 0.6740 0.3923  1 Au 2.13
O 0.6630 0.3260 0.8923  1 Au 2.13
O 0.3793 0.7587 0.9852  1 Au 2.09
O 0.4831 0.9662 0.7800  1 Au 2.06
O 0.2708 0.5416 0.6424  2 Nd 2.39, 1 Ba 2.59
O 0.7292 0.4584 0.1424  2 Nd 2.39, 1 Ba 2.59
O 0.9419 0.8837 0.5735  1 Nd 2.24, 2 Au 2.48
O 0.0581 0.1163 0.0735  1 Nd 2.24, 2 Au 2.48
O 0.5169 0.0338 0.2800  1 Au 2.06
Nd 0.2078 0.4156 0.0204  6 O 2.24-2.50
Nd 0.7922 0.5844 0.5204  6 O 2.24-2.50
Ba 0.9066 0.8132 0.1860  4 O 2.56-2.69
Ba 0.8539 0.7078 0.7992  6 O 2.64-2.94
Ba 0.1461 0.2922 0.2992  6 O 2.64-2.94
Ba 0.0934 0.1868 0.6860  4 O 2.56-2.69
Au 0.5213 0.0426 0.9450  3 O 2.06-2.13
Au 0.4787 0.9574 0.4450  3 O 2.06-2.13

Values from the calculation:
- density (Mg/m³) = 7.2
- M_tot (μB per atom) = 0.0000
- E_form (uncorrected) (eV/atom) = -2.0193

No. 20
A plane-wave DFT calculation with GGA-PBE was carried out for an optimized crystal structure of Ba2NdAu2O6.

Cell: 6.4165 6.4165 7.1551 Å, 63.36 63.36 60.00°
With the nearest neighbours (Å) after each atom.
Element x y z (fractional)
Au 0.5819 0.5819 0.2544  3 O 2.06
Au 0.4181 0.4181 0.7456  3 O 2.06
O 0.7599 0.2060 0.2743  1 Au 2.06
O 0.2401 0.2401 0.7257  1 Au 2.06
O 0.7940 0.2401 0.7257  1 Au 2.06
O 0.2060 0.7599 0.2743  1 Au 2.06
O 0.7599 0.7599 0.2743  1 Au 2.06
O 0.2401 0.7940 0.7257  1 Au 2.06
Ba 0.2085 0.2085 0.3746  3 O 2.71
Ba 0.7915 0.7915 0.6254  3 O 2.71
Nd 0.0000 0.0000 0.0000  6 O 2.36

Values from the calculation:
- density (Mg/m³) = 6.9
- M_tot (μB per atom) = 0.2522
- E_form (uncorrected) (eV/atom) = -1.5044